Compound: Gd2SnH
Source: the Alexandria database
Functional: PBE
Structure: relaxed

## Properties
- Theoretical density: 7.4 g/cm3
- DFT total energy: -8.997 eV/atom
- SG: R-3m, No. 166

Cell: 3.527 3.527 9.274 Å, 79.04 79.04 60.00°
Positions (direct):
Gd  0.885  0.885  0.346
Gd  0.115  0.115  0.654
Sn  0.000  0.000  0.000
H  0.500  0.500  0.500